First-principles (PBE-GGA) data for CoRu2Se after structural relaxation, as listed in the Alexandria database.

Summary:
crystal system = tetragonal
raw formation energy = 0.29 eV per atom
E_tot = -6.99 eV/atom

a b c (Å): 2.8678 2.8678 6.7165
angles (deg): 90.00 90.00 90.00
Space group P4mm (No. 99)
Symmetry-distinct sites (fractional):
Co  0.0000  0.0000  0.0000
Ru  0.0000  0.0000  0.5152
Ru  0.5000  0.5000  0.2578
Se  0.5000  0.5000  0.7775